Record 1
! Mg2AlGaC, optimized geometry, DFT PBE; values from VASP
&SYSTEM
  ibrav = 0, nat = 5, ntyp = 4
/
ATOMIC_SPECIES
Al 26.98 Al.upf
Mg 24.30 Mg.upf
C 12.01 C.upf
Ga 69.72 Ga.upf
CELL_PARAMETERS angstrom
4.490 0.000 0.000
0.000 4.490 0.000
0.000 0.000 3.943
ATOMIC_POSITIONS crystal
Al 0.000 0.000 0.500
Mg 0.500 0.000 0.000
Mg 0.000 0.500 0.000
C 0.000 0.000 0.000
Ga 0.500 0.500 0.500
! energy of formation from the pure elements: 0.1212 eV per atom
! total energy: -3.7153 eV/atom
! space-group type: P4/mmm, No. 123
! density of states at the Fermi level: 0.509 states/eV/atom
! magnetization: 0.00 μB per formula unit


Record 2
! K2ZrRu, optimized geometry, DFT PBE; values from VASP
&SYSTEM
  ibrav = 0, nat = 4, ntyp = 3
/
ATOMIC_SPECIES
K 39.10 K.upf
Zr 91.22 Zr.upf
Ru 101.07 Ru.upf
CELL_PARAMETERS angstrom
-1.687 -0.979 2.210
-0.598 -5.423 -2.859
4.550 -1.890 2.634
ATOMIC_POSITIONS crystal
K 0.000 0.000 0.007
K 0.000 0.000 0.493
Zr 0.500 0.500 0.750
Ru 0.500 0.500 0.250
! energy of formation from the pure elements: 1.1008 eV per atom
! total energy: -3.9039 eV/atom
! space-group type: Pmmm, No. 47
! density of states at the Fermi level: 0.953 states/eV/atom
! magnetization: 1.16 μB per formula unit


Record 3
! CeInPdRu, optimized geometry, DFT PBE; values from VASP
&SYSTEM
  ibrav = 0, nat = 4, ntyp = 4
/
ATOMIC_SPECIES
Pd 106.42 Pd.upf
Ru 101.07 Ru.upf
In 114.82 In.upf
Ce 140.12 Ce.upf
CELL_PARAMETERS angstrom
4.802 0.000 0.000
2.401 4.158 0.000
2.401 1.386 3.921
ATOMIC_POSITIONS crystal
Pd 0.250 0.250 0.250
Ru 0.750 0.750 0.750
In 0.000 0.000 0.000
Ce 0.500 0.500 0.500
! energy of formation from the pure elements: -0.4232 eV per atom
! total energy: -6.2084 eV/atom
! space-group type: F-43m, No. 216
! density of states at the Fermi level: 1.202 states/eV/atom
! magnetization: 0.24 μB per formula unit


Record 4
! BaHf2CuB, optimized geometry, DFT PBE; values from VASP
&SYSTEM
  ibrav = 0, nat = 5, ntyp = 4
/
ATOMIC_SPECIES
Hf 178.49 Hf.upf
B 10.81 B.upf
Cu 63.55 Cu.upf
Ba 137.33 Ba.upf
CELL_PARAMETERS angstrom
5.385 0.000 0.000
0.000 4.915 0.000
0.000 0.000 5.385
ATOMIC_POSITIONS crystal
Hf 0.500 0.000 0.000
Hf 0.000 0.000 0.500
B 0.500 0.500 0.500
Cu 0.000 0.500 0.000
Ba 0.000 0.000 0.000
! energy of formation from the pure elements: 2.8902 eV per atom
! total energy: -3.6305 eV/atom
! space-group type: P4/mmm, No. 123
! density of states at the Fermi level: 0.663 states/eV/atom
! magnetization: 0.00 μB per formula unit


Record 5
! Pr4Hg2O, optimized geometry, DFT PBE; values from VASP
&SYSTEM
  ibrav = 0, nat = 7, ntyp = 3
/
ATOMIC_SPECIES
Pr 140.91 Pr.upf
Hg 200.59 Hg.upf
O 16.00 O.upf
CELL_PARAMETERS angstrom
-2.218 0.482 2.793
-0.971 -4.779 0.054
9.988 0.547 7.835
ATOMIC_POSITIONS crystal
Pr 0.000 0.303 0.606
Pr 0.000 0.697 0.394
Pr 0.500 0.566 0.133
Pr 0.500 0.434 0.867
Hg 0.500 0.154 0.308
Hg 0.500 0.846 0.692
O 0.000 0.500 0.000
! total energy: -4.2815 eV/atom
! space-group type: Cmmm, No. 65
! density of states at the Fermi level: 0.857 states/eV/atom
! raw formation energy: -0.756 eV/atom
! magnetization: 0.00 μB per formula unit


Record 6
! LiInCl2, optimized geometry, DFT PBE; values from VASP
&SYSTEM
  ibrav = 0, nat = 4, ntyp = 3
/
ATOMIC_SPECIES
Cl 35.45 Cl.upf
Li 6.94 Li.upf
In 114.82 In.upf
CELL_PARAMETERS angstrom
3.892 -0.016 0.010
1.962 3.362 0.010
1.926 1.101 7.282
ATOMIC_POSITIONS crystal
Cl 0.481 0.481 0.557
Cl 0.019 0.019 0.943
Li 0.750 0.750 0.750
In 0.250 0.250 0.250
! total energy: -3.3361 eV/atom
! space-group type: R-3m, No. 166
! density of states at the Fermi level: 0.000 states/eV/atom
! raw formation energy: -1.250 eV/atom
! magnetization: 0.00 μB per formula unit


Record 7
! CaTi2TcGe, optimized geometry, DFT PBE; values from VASP
&SYSTEM
  ibrav = 0, nat = 5, ntyp = 4
/
ATOMIC_SPECIES
Ca 40.08 Ca.upf
Ti 47.87 Ti.upf
Ge 72.64 Ge.upf
Tc 98.00 Tc.upf
CELL_PARAMETERS angstrom
4.664 0.000 0.000
0.000 5.489 0.000
0.000 0.000 4.664
ATOMIC_POSITIONS crystal
Ca 0.000 0.500 0.000
Ti 0.500 0.000 0.000
Ti 0.000 0.000 0.500
Ge 0.500 0.500 0.500
Tc 0.000 0.000 0.000
! energy of formation from the pure elements: 0.5583 eV per atom
! total energy: -5.9967 eV/atom
! space-group type: P4/mmm, No. 123
! density of states at the Fermi level: 1.273 states/eV/atom
! magnetization: 0.77 μB per formula unit


Record 8
! PmNd6Sm, optimized geometry, DFT PBE; values from VASP
&SYSTEM
  ibrav = 0, nat = 8, ntyp = 3
/
ATOMIC_SPECIES
Nd 144.24 Nd.upf
Pm 145.00 Pm.upf
Sm 150.36 Sm.upf
CELL_PARAMETERS angstrom
-1.878 -4.001 2.715
3.906 0.462 3.382
-5.703 6.539 5.694
ATOMIC_POSITIONS crystal
Nd 0.000 0.500 0.750
Nd 0.000 0.500 0.250
Nd 0.500 0.500 0.500
Nd 0.500 0.000 0.250
Nd 0.500 0.500 0.000
Nd 0.500 0.000 0.750
Pm 0.000 0.000 0.000
Sm 0.000 0.000 0.500
! energy of formation from the pure elements: 0.0134 eV per atom
! total energy: -4.7462 eV/atom
! space-group type: P4/mmm, No. 123
! density of states at the Fermi level: 1.647 states/eV/atom
! magnetization: 0.00 μB per formula unit


Record 9
! Tm5ScSn3, optimized geometry, DFT PBE; values from VASP
&SYSTEM
  ibrav = 0, nat = 18, ntyp = 3
/
ATOMIC_SPECIES
Tm 168.93 Tm.upf
Sn 118.71 Sn.upf
Sc 44.96 Sc.upf
CELL_PARAMETERS angstrom
-0.826 7.591 -0.345
-7.570 -0.792 0.708
4.934 -2.938 8.203
ATOMIC_POSITIONS crystal
Tm 0.932 0.432 0.276
Tm 0.844 0.932 0.276
Tm 0.656 0.156 0.724
Tm 0.068 0.568 0.724
Tm 0.344 0.844 0.276
Tm 0.000 0.000 0.000
Tm 0.432 0.344 0.276
Tm 0.500 0.500 0.000
Tm 0.156 0.068 0.724
Tm 0.568 0.656 0.724
Sn 0.126 0.374 0.000
Sn 0.626 0.126 0.000
Sn 0.874 0.626 0.000
Sn 0.250 0.250 0.500
Sn 0.374 0.874 0.000
Sn 0.750 0.750 0.500
Sc 0.250 0.750 0.500
Sc 0.750 0.250 0.500
! energy of formation from the pure elements: -0.2016 eV per atom
! total energy: -4.7235 eV/atom
! space-group type: I4/mcm, No. 140
! density of states at the Fermi level: 1.329 states/eV/atom
! magnetization: 0.30 μB per formula unit


Record 10
! LaPm2Y, optimized geometry, DFT PBE; values from VASP
&SYSTEM
  ibrav = 0, nat = 4, ntyp = 3
/
ATOMIC_SPECIES
Y 88.91 Y.upf
La 138.91 La.upf
Pm 145.00 Pm.upf
CELL_PARAMETERS angstrom
-2.913 -0.091 -2.205
-0.862 -3.083 -1.762
-8.112 -4.394 7.869
ATOMIC_POSITIONS crystal
Y 0.500 0.500 0.500
La 0.000 0.000 0.000
Pm 0.248 0.248 0.255
Pm 0.752 0.752 0.745
! energy of formation from the pure elements: 0.0170 eV per atom
! total energy: -5.2062 eV/atom
! space-group type: R-3m, No. 166
! density of states at the Fermi level: 1.487 states/eV/atom
! magnetization: 0.00 μB per formula unit


Record 11
! Mn5Ir, optimized geometry, DFT PBE; values from VASP
&SYSTEM
  ibrav = 0, nat = 6, ntyp = 2
/
ATOMIC_SPECIES
Mn 54.94 Mn.upf
Ir 192.22 Ir.upf
CELL_PARAMETERS angstrom
2.856 0.815 3.522
-3.682 2.692 -0.651
-2.147 -2.383 2.293
ATOMIC_POSITIONS crystal
Mn 0.000 0.500 0.500
Mn 0.667 0.333 0.000
Mn 0.500 0.500 0.500
Mn 0.333 0.667 0.000
Mn 0.500 0.000 0.500
Ir 0.000 0.000 0.000
! energy of formation from the pure elements: 0.3296 eV per atom
! total energy: -8.7886 eV/atom
! space-group type: P6/mmm, No. 191
! density of states at the Fermi level: 1.500 states/eV/atom
! magnetization: 1.74 μB per formula unit


Record 12
! Tm2AlSiNi6, optimized geometry, DFT PBE; values from VASP
&SYSTEM
  ibrav = 0, nat = 10, ntyp = 4
/
ATOMIC_SPECIES
Al 26.98 Al.upf
Ni 58.69 Ni.upf
Tm 168.93 Tm.upf
Si 28.09 Si.upf
CELL_PARAMETERS angstrom
5.988 -0.894 -0.599
-1.184 5.855 -0.249
1.827 2.410 4.048
ATOMIC_POSITIONS crystal
Al 0.500 0.500 0.000
Ni 0.577 0.851 0.135
Ni 0.737 0.609 0.467
Ni 0.158 0.664 0.107
Ni 0.842 0.336 0.893
Ni 0.423 0.149 0.865
Ni 0.263 0.391 0.533
Tm 0.802 0.146 0.478
Tm 0.198 0.854 0.522
Si 0.000 0.000 0.000
! total energy: -5.6967 eV/atom
! space-group type: P-1, No. 2
! density of states at the Fermi level: 0.726 states/eV/atom
! raw formation energy: -0.417 eV/atom
! magnetization: 0.00 μB per formula unit